V2ZnF8 | GGA+U | relaxed

Cell and atoms, written as extended XYZ:
```
11
Lattice="5.124 -0.400 -0.304 -0.579 5.240 -0.087 -0.579 1.327 5.070" Properties=species:S:1:pos:R:3 pbc="T T T"
V 2.467 1.846 1.401
V 1.499 4.321 3.279
F 3.901 0.782 0.593
F 0.807 2.946 4.719
F 3.159 3.221 -0.040
F 3.159 0.829 3.113
F 3.132 3.346 2.539
F 0.065 5.385 4.086
F 0.834 2.821 2.140
F 0.807 5.338 1.567
Zn 0.000 0.000 0.000
```

## Properties
Calculated total energy: -60.3 eV per cell
M_tot: 4.00 μB per formula unit
Symmetry: C2/m (12)
ρ: 3.93 g/cm3